No. 1
# NiPt2Rh2

A relaxed structure of NiPt2Rh2 (PBE, Alexandria).

Unit cell a=4.4225 b=5.3907 c=7.1041 alpha=112.31 beta=108.14 gamma=90.01
Closest atoms and distances in Å follow each position.
Atoms (fractional coordinates):
Ni  0.3794  0.1293  0.2586  5 Pt 2.64-2.95, 6 Rh 2.71
Ni  0.6206  0.8707  0.7414  5 Pt 2.64-2.95, 6 Rh 2.71
Pt  0.6176  0.3676  0.7355  2 Pt 2.68, 3 Ni 2.70-2.95, 6 Rh 2.74-2.76
Pt  0.0047  0.7546  0.5092  2 Ni 2.64, 4 Rh 2.64-2.76, 4 Pt 2.68-2.70
Pt  0.9953  0.2454  0.4908  2 Ni 2.64, 4 Rh 2.64-2.76, 4 Pt 2.68-2.70
Pt  0.3824  0.6324  0.2645  2 Pt 2.68, 3 Ni 2.70-2.95, 6 Rh 2.74-2.76
Rh  0.8115  0.3075  0.1227  5 Pt 2.64-2.76, 4 Rh 2.66-2.74, 3 Ni 2.71
Rh  0.8115  0.8149  0.1227  5 Pt 2.64-2.76, 4 Rh 2.66-2.74, 3 Ni 2.71
Rh  0.1885  0.1851  0.8773  5 Pt 2.64-2.76, 4 Rh 2.66-2.74, 3 Ni 2.71
Rh  0.1885  0.6925  0.8773  5 Pt 2.64-2.76, 4 Rh 2.66-2.74, 3 Ni 2.71

Results
ΔE_f (eV per atom): 0.08
Total magnetic moment (μB/cell): 3.82
D(E_F) (states/eV per atom): 1.621



No. 2
# Ni3Pt3Rh

A relaxed structure of Ni3Pt3Rh (PBE, Alexandria).

Unit cell a=4.9262 b=4.9262 c=8.5457 alpha=97.65 beta=97.65 gamma=101.76
Closest atoms and distances in Å follow each position.
Atoms (fractional coordinates):
Ni  0.6759  0.6759  0.5916  3 Ni 2.41-2.60, 1 Pt 2.56
Ni  0.8454  0.1546  0.5000  3 Ni 2.36-2.60, 4 Pt 2.45-2.59
Ni  0.1546  0.8454  0.5000  3 Ni 2.36-2.60, 4 Pt 2.45-2.59
Ni  0.7709  0.2291  0.0000  4 Rh 2.52-2.65, 4 Pt 2.55-2.57
Ni  0.2291  0.7709  0.0000  4 Rh 2.52-2.65, 4 Pt 2.55-2.57
Ni  0.3241  0.3241  0.4084  3 Ni 2.41-2.60, 1 Pt 2.56
Pt  0.0453  0.0453  0.7924  5 Ni 2.55-2.72, 4 Pt 2.66-2.72, 2 Rh 2.71-2.73
Pt  0.4518  0.8100  0.2934  4 Ni 2.45-2.70, 3 Pt 2.66-2.74, 1 Rh 2.69
Pt  0.8100  0.4518  0.2934  4 Ni 2.45-2.70, 3 Pt 2.66-2.74, 1 Rh 2.69
Pt  0.5482  0.1900  0.7066  4 Ni 2.45-2.70, 3 Pt 2.66-2.74, 1 Rh 2.69
Pt  0.1900  0.5482  0.7066  4 Ni 2.45-2.70, 3 Pt 2.66-2.74, 1 Rh 2.69
Pt  0.9547  0.9547  0.2076  5 Ni 2.55-2.72, 4 Pt 2.66-2.72, 2 Rh 2.71-2.73
Rh  0.6762  0.6762  0.9137  5 Ni 2.52-2.75, 4 Pt 2.69-2.73
Rh  0.3238  0.3238  0.0863  5 Ni 2.52-2.75, 4 Pt 2.69-2.73

Results
ΔE_f (eV per atom): 0.13
Total magnetic moment (μB/cell): 7.95
D(E_F) (states/eV per atom): 1.618



No. 3
# Ni4PtRh4

A relaxed structure of Ni4PtRh4 (PBE, Alexandria).

Unit cell a=3.7051 b=5.9457 c=5.9457 alpha=84.43 beta=71.85 gamma=71.85
Closest atoms and distances in Å follow each position.
Atoms (fractional coordinates):
Ni  0.3310  0.3380  0.0000  4 Ni 2.60-2.70, 6 Rh 2.63-2.64, 2 Pt 2.66
Ni  0.6690  0.6620  0.0000  4 Ni 2.60-2.70, 6 Rh 2.63-2.64, 2 Pt 2.66
Ni  0.6690  0.0000  0.6620  4 Ni 2.60-2.70, 6 Rh 2.63-2.64, 2 Pt 2.66
Ni  0.3310  0.0000  0.3380  4 Ni 2.60-2.70, 6 Rh 2.63-2.64, 2 Pt 2.66
Pt  0.0000  0.0000  0.0000  4 Rh 2.65, 8 Ni 2.66
Rh  0.0000  0.6685  0.3315  6 Ni 2.63-2.64, 1 Pt 2.65, 5 Rh 2.66-2.69
Rh  0.0000  0.3315  0.6685  6 Ni 2.63-2.64, 1 Pt 2.65, 5 Rh 2.66-2.69
Rh  0.6685  0.3315  0.3315  6 Ni 2.63-2.64, 1 Pt 2.65, 5 Rh 2.66-2.69
Rh  0.3315  0.6685  0.6685  6 Ni 2.63-2.64, 1 Pt 2.65, 5 Rh 2.66-2.69

Results
ΔE_f (eV per atom): 0.02
Total magnetic moment (μB/cell): 5.46
D(E_F) (states/eV per atom): 1.480



No. 4
# NiPt2Rh2

A relaxed structure of NiPt2Rh2 (PBE, Alexandria).

Unit cell a=4.3281 b=4.3281 c=5.1001 alpha=64.89 beta=64.89 gamma=59.99
Closest atoms and distances in Å follow each position.
Atoms (fractional coordinates):
Ni  0.0000  0.5000  0.0000  2 Rh 2.53, 6 Pt 2.62
Pt  0.6067  0.1067  0.1800  3 Ni 2.62, 4 Rh 2.72-2.74, 1 Pt 2.85
Pt  0.3933  0.8933  0.8200  3 Ni 2.62, 4 Rh 2.72-2.74, 1 Pt 2.85
Rh  0.1894  0.6894  0.4316  1 Ni 2.53, 3 Rh 2.57, 4 Pt 2.72-2.74
Rh  0.8106  0.3106  0.5684  1 Ni 2.53, 3 Rh 2.57, 4 Pt 2.72-2.74

Results
ΔE_f (eV per atom): 0.15
Total magnetic moment (μB/cell): 0.00
D(E_F) (states/eV per atom): 2.115



No. 5
# NiPt6Rh4

A relaxed structure of NiPt6Rh4 (PBE, Alexandria).

Unit cell a=6.8184 b=6.8184 c=6.4549 alpha=121.88 beta=121.88 gamma=90.00
Closest atoms and distances in Å follow each position.
Atoms (fractional coordinates):
Ni  0.5000  0.5000  0.0000  4 Pt 2.55
Pt  0.1090  0.1090  0.4924  4 Rh 2.44-2.68, 1 Ni 2.55, 1 Pt 2.65
Pt  0.3834  0.3834  0.4924  4 Rh 2.44-2.68, 1 Ni 2.55, 1 Pt 2.65
Pt  0.8910  0.6166  0.5076  4 Rh 2.44-2.68, 1 Ni 2.55, 1 Pt 2.65
Pt  0.5000  0.0000  0.0000  4 Rh 2.57
Pt  0.6166  0.8910  0.5076  4 Rh 2.44-2.68, 1 Ni 2.55, 1 Pt 2.65
Pt  0.0000  0.5000  0.0000  4 Rh 2.57
Rh  0.1151  0.1151  0.8778  6 Pt 2.44-2.68, 2 Rh 2.62
Rh  0.2373  0.8849  0.1222  6 Pt 2.44-2.68, 2 Rh 2.62
Rh  0.7627  0.7627  0.8778  6 Pt 2.44-2.68, 2 Rh 2.62
Rh  0.8849  0.2373  0.1222  6 Pt 2.44-2.68, 2 Rh 2.62

Results
ΔE_f (eV per atom): 0.63
Total magnetic moment (μB/cell): 0.50
D(E_F) (states/eV per atom): 1.720



No. 6
# Ni5PtRh4

A relaxed structure of Ni5PtRh4 (PBE, Alexandria).

Unit cell a=4.7246 b=5.9087 c=5.9087 alpha=80.80 beta=66.43 gamma=66.43
Closest atoms and distances in Å follow each position.
Atoms (fractional coordinates):
Ni  0.8052  0.3761  0.9038  1 Ni 2.38, 4 Rh 2.42-2.59, 1 Pt 2.48
Ni  0.1813  0.9038  0.6239  1 Ni 2.38, 4 Rh 2.42-2.59, 1 Pt 2.48
Ni  0.7090  0.0962  0.3761  1 Ni 2.38, 4 Rh 2.42-2.59, 1 Pt 2.48
Ni  0.0851  0.6239  0.0962  1 Ni 2.38, 4 Rh 2.42-2.59, 1 Pt 2.48
Ni  0.7087  0.0000  0.0000  2 Pt 2.29-2.43, 4 Ni 2.38
Pt  0.2235  0.0000  0.0000  6 Ni 2.29-2.48
Rh  0.3962  0.3915  0.7148  4 Ni 2.42-2.59, 1 Rh 2.61
Rh  0.7877  0.7148  0.6085  4 Ni 2.42-2.59, 1 Rh 2.61
Rh  0.1110  0.2852  0.3915  4 Ni 2.42-2.59, 1 Rh 2.61
Rh  0.5025  0.6085  0.2852  4 Ni 2.42-2.59, 1 Rh 2.61

Results
ΔE_f (eV per atom): 0.34
Total magnetic moment (μB/cell): 7.57
D(E_F) (states/eV per atom): 1.760